# 1
An optimized crystal structure of AlSb2ICl, computed with PBE-GGA.

Cell and atoms, written as POSCAR:
```
AlSb2ICl
1.0
-4.745 1.415 2.056
1.677 -1.463 4.878
1.878 5.038 0.865
I Sb Al Cl
1 2 1 1
direct
0.000 0.000 0.500
0.000 0.500 0.000
0.500 0.000 0.000
0.000 0.000 0.000
0.500 0.500 0.500
```

Output
V in Å³ per cell: 157
Polymorph energy (0 for the lowest one) in eV per formula unit: 0.00
M_tot in μB per formula unit: 0.263
Formation energy from raw total energies in eV/atom: 0.29

***

# 2
An optimized crystal structure of HfNb3Sn, computed with PBE-GGA.

Cell and atoms, written as POSCAR:
```
HfNb3Sn
1.0
-3.713 2.354 -2.233
-0.952 -4.034 -2.670
-3.101 -1.580 3.492
Nb Sn Hf
3 1 1
direct
0.000 0.500 0.000
0.000 0.000 0.500
0.500 0.000 0.000
0.500 0.500 0.500
0.000 0.000 0.000
```

Output
V in Å³ per cell: 120
Polymorph energy (0 for the lowest one) in eV per formula unit: 6.34
M_tot in μB per formula unit: 0.000
Formation enthalpy at 0 K in eV/atom: 1.37

***

# 3
An optimized crystal structure of PrY3Au4, computed with PBE-GGA.

Cell and atoms, written as POSCAR:
```
PrY3Au4
1.0
-4.348 2.482 -1.129
-3.473 -2.182 -3.084
-6.380 -3.438 5.348
Au Y Pr
4 3 1
direct
0.619 0.619 0.142
0.381 0.381 0.858
0.128 0.128 0.616
0.872 0.872 0.384
0.500 0.500 0.500
0.249 0.249 0.254
0.751 0.751 0.746
0.000 0.000 0.000
```

Output
V in Å³ per cell: 194
M_tot in μB per formula unit: 0.000
Formation enthalpy at 0 K in eV/atom: -0.82

***

# 4
An optimized crystal structure of CeTiGe2, computed with PBE-GGA.

Cell and atoms, written as POSCAR:
```
CeTiGe2
1.0
-1.529 3.194 0.091
-1.477 -0.617 -3.160
-5.004 -2.476 2.822
Ge Ti Ce
2 1 1
direct
0.000 0.000 0.202
0.000 0.000 0.798
0.500 0.500 0.000
0.500 0.500 0.500
```

Output
V in Å³ per cell: 79
M_tot in μB per formula unit: 1.164
Formation enthalpy at 0 K in eV/atom: -0.52

***

# 5
An optimized crystal structure of KRe3Hg, computed with PBE-GGA.

Cell and atoms, written as POSCAR:
```
KRe3Hg
1.0
5.245 0.000 0.000
0.000 5.245 0.000
0.000 0.000 5.245
Re Hg K
3 1 1
direct
0.000 0.500 0.000
0.500 0.000 0.000
0.000 0.000 0.500
0.000 0.000 0.000
0.500 0.500 0.500
```

Output
V in Å³ per cell: 144
Polymorph energy (0 for the lowest one) in eV per formula unit: 0.00
M_tot in μB per formula unit: 10.028
Formation enthalpy at 0 K in eV/atom: 3.13

***

# 6
An optimized crystal structure of Tb3Pm2Tm5, computed with PBE-GGA.

Cell and atoms, written as POSCAR:
```
Tb3Pm2Tm5
1.0
-2.216 6.006 4.647
4.084 -2.422 11.845
6.831 3.662 5.281
Tm Tb Pm
10 6 4
direct
0.275 0.474 0.176
0.175 0.574 0.476
0.475 0.278 0.573
0.076 0.672 0.777
0.575 0.178 0.274
0.825 0.426 0.524
0.725 0.526 0.824
0.525 0.722 0.427
0.924 0.328 0.223
0.425 0.822 0.726
0.674 0.076 0.974
0.873 0.873 0.377
0.127 0.127 0.623
0.326 0.924 0.026
0.624 0.623 0.126
0.376 0.377 0.874
0.976 0.774 0.075
0.774 0.975 0.673
0.226 0.025 0.327
0.024 0.226 0.925
```

Output
V in Å³ per cell: 627
Polymorph energy (0 for the lowest one) in eV per formula unit: 0.00
M_tot in μB per formula unit: 0.000
Formation enthalpy at 0 K in eV/atom: 0.02